{
  "formula": "TbHf3Al8",
  "functional": "PBE-GGA",
  "state": "optimized geometry",
  "lattice_angstrom": [[5.3180, 0.0000, 0.0000], [-2.6590, 4.6055, 0.0000], [0.0000, 0.0000, 8.8563]],
  "species": ["Tb", "Hf", "Hf", "Hf", "Al", "Al", "Al", "Al", "Al", "Al", "Al", "Al"],
  "frac_coords": [[0.0000, 0.0000, 0.0000], [0.0000, 0.0000, 0.3726], [0.6667, 0.3333, 0.5011], [0.6667, 0.3333, 0.8604], [0.1628, 0.3256, 0.6804], [0.1628, 0.8372, 0.6804], [0.3333, 0.6667, 0.4372], [0.3333, 0.6667, 0.9335], [0.5040, 0.0079, 0.1922], [0.5040, 0.4960, 0.1922], [0.6744, 0.8372, 0.6804], [0.9921, 0.4960, 0.1922]],
  "space_group": "No. 156",
  "final_energy_ev_per_atom": -5.808,
  "de_polymorph_mev_per_atom": 6
}